Material: K3NaU2Se6
Method: DFT, GGA-PBE
State: optimized geometry

As for the energy relative to the elements, uncorrected: -1.290 eV per atom. As for the total magnetization: 8.00 Bohr magnetons per cell. The total energy is -5.30 eV per atom.

The structure belongs to space group C2/m (No. 12); the cell edges are 7.423, 12.855 and 8.014 Å and the angles 90.00°, 107.99° and 90.00°. The inequivalent atoms are K at (0.000, 0.000, 0.000), K at (0.000, 0.341, 0.000), Na at (0.000, 0.500, 0.500), U at (0.000, 0.167, 0.500), Se at (0.212, 0.000, 0.704) and Se at (0.248, 0.321, 0.706).

Material: K2In2Pb3
Method: DFT, GGA-PBE
State: optimized geometry

As for the total magnetization: 0.00 Bohr magnetons per cell. The total energy is -2.77 eV per atom.

The structure belongs to space group C2/m (No. 12); the cell edges are 12.168, 5.419 and 7.852 Å and the angles 90.00°, 106.39° and 90.00°. The inequivalent atoms are K at (0.124, 0.000, 0.349), In at (0.093, 0.500, 0.678), Pb at (0.000, 0.500, 0.000) and Pb at (0.189, 0.000, 0.892).

Material: NaCa2Sm3Se6
Method: DFT, GGA-PBE
State: optimized geometry

As for the energy relative to the elements, uncorrected: -1.838 eV per atom. As for the total magnetization: 0.00 Bohr magnetons per cell. The total energy is -5.20 eV per atom.

The structure belongs to space group C2/m (No. 12); the cell edges are 7.218, 12.501 and 7.341 Å and the angles 90.00°, 109.09° and 90.00°. The inequivalent atoms are Na at (0.000, 0.000, 0.000), Ca at (0.000, 0.333, 0.000), Sm at (0.000, 0.165, 0.500), Sm at (0.000, 0.500, 0.500), Se at (0.248, 0.500, 0.250) and Se at (0.249, 0.332, 0.749).

Material: CaAgSe2
Method: DFT, GGA-PBE
State: optimized geometry

As for the energy relative to the elements, uncorrected: -0.790 eV per atom. As for the total magnetization: 0.00 Bohr magnetons per cell. The total energy is -3.75 eV per atom.

The structure belongs to space group Imm2 (No. 44); the cell edges are 3.846, 3.887 and 12.828 Å and the angles 90.00°, 90.00° and 90.00°. The inequivalent atoms are Ca at (0.000, 0.000, 0.000), Ag at (0.000, 0.500, 0.252), Se at (0.000, 0.000, 0.573) and Se at (0.000, 0.500, 0.814).

Material: Dy3Ga3Hg
Method: DFT, GGA-PBE
State: optimized geometry

As for the total magnetization: 0.00 Bohr magnetons per cell. The total energy is -3.89 eV per atom.

The structure belongs to space group C2/m (No. 12); the cell edges are 10.934, 4.449 and 14.228 Å and the angles 90.00°, 109.57° and 90.00°. The inequivalent atoms are Dy at (0.027, 0.000, 0.375), Dy at (0.106, 0.000, 0.925), Dy at (0.234, 0.000, 0.218), Ga at (0.018, 0.500, 0.223), Ga at (0.110, 0.500, 0.074), Ga at (0.121, 0.500, 0.548) and Hg at (0.240, 0.500, 0.390).

Material: Dy2Ga3Pd2
Method: DFT, GGA-PBE
State: optimized geometry

As for the total magnetization: 0.00 Bohr magnetons per cell. The total energy is -4.88 eV per atom.

The structure belongs to space group C2/m (No. 12); the cell edges are 9.989, 4.393 and 6.670 Å and the angles 90.00°, 113.18° and 90.00°. The inequivalent atoms are Dy at (0.153, 0.000, 0.273), Ga at (0.000, 0.500, 0.500), Ga at (0.112, 0.500, 0.940) and Pd at (0.136, 0.000, 0.720).

Material: Ti3Se
Method: DFT, GGA-PBE
State: optimized geometry

The polymorph energy (0 for the lowest one) comes out at 0 meV/atom. As for the energy relative to the elements, uncorrected: -0.626 eV per atom. As for the total magnetization: 0.00 Bohr magnetons per cell. The total energy is -7.42 eV per atom.

The structure belongs to space group Cmcm (No. 63); the cell edges are 3.425, 9.563 and 8.021 Å and the angles 90.00°, 90.00° and 90.00°. The inequivalent atoms are Ti at (0.000, 0.053, 0.250), Ti at (0.000, 0.365, 0.041) and Se at (0.000, 0.233, 0.750).

Material: Nb5Re4W
Method: DFT, GGA-PBE
State: optimized geometry

As for the total magnetization: 0.00 Bohr magnetons per cell. The total energy is -11.54 eV per atom.

The structure belongs to space group P4/mmm (No. 123); the cell edges are 3.211, 3.211 and 16.109 Å and the angles 90.00°, 90.00° and 90.00°. The inequivalent atoms are Nb at (0.000, 0.000, 0.000), Nb at (0.000, 0.000, 0.199), Nb at (0.000, 0.000, 0.399), Re at (0.500, 0.500, 0.100), Re at (0.500, 0.500, 0.299) and W at (0.500, 0.500, 0.500).

Material: ZrMnBi
Method: DFT, GGA-PBE
State: optimized geometry

As for the total magnetization: 0.02 Bohr magnetons per cell. The total energy is -7.21 eV per atom.

The structure belongs to space group P4/nmm (No. 129, origin choice 2); the cell edges are 4.355, 4.355 and 6.531 Å and the angles 90.00°, 90.00° and 90.00°. The inequivalent atoms are Zr at (0.250, 0.250, 0.248), Mn at (0.250, 0.750, 0.000) and Bi at (0.250, 0.250, 0.736).

Material: Pb2S2O7
Method: DFT, GGA-PBE
State: optimized geometry

As for the energy relative to the elements, uncorrected: -1.124 eV per atom. As for the total magnetization: 0.00 Bohr magnetons per cell. The total energy is -5.70 eV per atom.

The structure belongs to space group P2_1/c (No. 14); the cell edges are 4.692, 12.486 and 5.795 Å and the angles 90.00°, 93.23° and 90.00°. The inequivalent atoms are Pb at (0.128, 0.133, 0.298), S at (0.376, 0.621, 0.711), O at (0.167, 0.696, 0.586), O at (0.227, 0.567, 0.911), O at (0.382, 0.188, 0.676) and O at (0.500, 0.000, 0.000).

Material: Tm2PdS
Method: DFT, GGA-PBE
State: optimized geometry

The polymorph energy (0 for the lowest one) comes out at 0 meV/atom. As for the energy relative to the elements, uncorrected: -1.437 eV per atom. As for the total magnetization: 0.00 Bohr magnetons per cell. The total energy is -6.00 eV per atom.

The structure belongs to space group Cmcm (No. 63); the cell edges are 3.785, 22.453 and 3.977 Å and the angles 90.00°, 90.00° and 90.00°. The inequivalent atoms are Tm at (0.000, 0.071, 0.250), Tm at (0.000, 0.314, 0.250), Pd at (0.000, 0.454, 0.250) and S at (0.000, 0.193, 0.250).

Material: NaPmPbF6
Method: DFT, GGA-PBE
State: optimized geometry

As for the energy relative to the elements, uncorrected: -3.183 eV per atom. As for the total magnetization: 0.00 Bohr magnetons per cell. The total energy is -5.52 eV per atom.

The structure belongs to space group P-31c (No. 163); the cell edges are 6.0573, 6.0573 and 10.3096 Å and the angles 90.00°, 90.00° and 120.00°. The inequivalent atoms are Na at (0.3333, 0.6667, 0.2500), Pm at (0.3333, 0.6667, 0.7500), Pb at (0.0000, 0.0000, 0.0000) and F at (0.0098, 0.3480, 0.6353).

Material: ScPaGa2Pt2
Method: DFT, GGA-PBE
State: optimized geometry

As for the total magnetization: 0.00 Bohr magnetons per cell. The total energy is -6.61 eV per atom.

The structure belongs to space group P-3m1 (No. 164); the cell edges are 4.4265, 4.4265 and 6.6156 Å and the angles 90.00°, 90.00° and 120.00°. The inequivalent atoms are Sc at (0.0000, 0.0000, 0.0000), Pa at (0.0000, 0.0000, 0.5000), Ga at (0.3333, 0.6667, 0.2169) and Pt at (0.3333, 0.6667, 0.7628).

Material: BPdI2O
Method: DFT, GGA-PBE
State: optimized geometry

The polymorph energy (0 for the lowest one) comes out at 0 meV/atom. As for the energy relative to the elements, uncorrected: 0.089 eV per atom. As for the total magnetization: 0.11 Bohr magnetons per cell. The total energy is -3.90 eV per atom.

The structure belongs to space group P4/mmm (No. 123); the cell edges are 5.781, 5.781 and 2.865 Å and the angles 90.00°, 90.00° and 90.00°. The inequivalent atoms are B at (0.000, 0.000, 0.000), Pd at (0.500, 0.500, 0.500), I at (0.000, 0.500, 0.000) and O at (0.000, 0.000, 0.500).

Material: ZrScCd2
Method: DFT, GGA-PBE
State: optimized geometry

The polymorph energy (0 for the lowest one) comes out at 3 meV/atom. As for the total magnetization: 0.00 Bohr magnetons per cell. The total energy is -4.35 eV per atom.

The structure belongs to space group P4/mmm (No. 123); the cell edges are 3.453, 3.453 and 7.355 Å and the angles 90.00°, 90.00° and 90.00°. The inequivalent atoms are Zr at (0.000, 0.000, 0.000), Sc at (0.000, 0.000, 0.500) and Cd at (0.500, 0.500, 0.257).

Material: La6Pm4Pr
Method: DFT, GGA-PBE
State: optimized geometry

The polymorph energy (0 for the lowest one) comes out at 33 meV/atom. As for the total magnetization: 0.00 Bohr magnetons per cell. The total energy is -4.73 eV per atom.

The structure belongs to space group P-6m2 (No. 187); the cell edges are 11.2761, 11.2761 and 3.6683 Å and the angles 90.00°, 90.00° and 120.00°. The inequivalent atoms are La at (0.1846, 0.3691, 0.0000), La at (0.5323, 0.0646, 0.5000), Pm at (0.3202, 0.1601, 0.0000), Pm at (0.3333, 0.6667, 0.5000) and Pr at (0.0000, 0.0000, 0.5000).

Material: LiCaTlPt
Method: DFT, GGA-PBE
State: optimized geometry

As for the total magnetization: 0.00 Bohr magnetons per cell. The total energy is -3.58 eV per atom.

The structure belongs to space group F-43m (No. 216); the cell edges are 6.901, 6.901 and 6.901 Å and the angles 90.00°, 90.00° and 90.00°. The inequivalent atoms are Li at (0.000, 0.000, 0.000), Ca at (0.250, 0.250, 0.750), Tl at (0.250, 0.250, 0.250) and Pt at (0.000, 0.000, 0.500).

Material: AlZnCu2
Method: DFT, GGA-PBE
State: optimized geometry

As for the total magnetization: 0.00 Bohr magnetons per cell. The total energy is -3.46 eV per atom.

The structure belongs to space group Pmm2 (No. 25); the cell edges are 2.760, 4.222 and 4.539 Å and the angles 90.00°, 90.00° and 90.00°. The inequivalent atoms are Al at (0.000, 0.000, 0.000), Zn at (0.000, 0.500, 0.380), Cu at (0.500, 0.000, 0.512) and Cu at (0.500, 0.500, 0.871).

Material: Al2Zn12Ga5
Method: DFT, GGA-PBE
State: optimized geometry

As for the total magnetization: 0.00 Bohr magnetons per cell. The total energy is -1.89 eV per atom.

The structure belongs to space group C2/m (No. 12); the cell edges are 14.453, 5.578 and 8.525 Å and the angles 90.00°, 100.98° and 90.00°. The inequivalent atoms are Al at (0.000, 0.246, 0.000), Zn at (0.021, 0.500, 0.340), Zn at (0.082, 0.000, 0.260), Zn at (0.145, 0.255, 0.621), Zn at (0.204, 0.238, 0.127), Ga at (0.000, 0.000, 0.500), Ga at (0.132, 0.500, 0.884) and Ga at (0.203, 0.500, 0.388).

Material: Y2ZnIr
Method: DFT, GGA-PBE
State: optimized geometry

As for the total magnetization: 0.00 Bohr magnetons per cell. The total energy is -5.89 eV per atom.

The structure belongs to space group I-42d (No. 122); the cell edges are 7.665, 7.665 and 6.697 Å and the angles 90.00°, 90.00° and 90.00°. The inequivalent atoms are Y at (0.222, 0.250, 0.125), Zn at (0.000, 0.000, 0.500) and Ir at (0.000, 0.000, 0.000).

Material: RbAlSi2Tc
Method: DFT, GGA-PBE
State: optimized geometry

As for the energy relative to the elements, uncorrected: 0.067 eV per atom. As for the total magnetization: 0.00 Bohr magnetons per cell. The total energy is -5.12 eV per atom.

The structure belongs to space group P4/mmm (No. 123); the cell edges are 4.745, 4.745 and 4.894 Å and the angles 90.00°, 90.00° and 90.00°. The inequivalent atoms are Rb at (0.000, 0.000, 0.000), Al at (0.500, 0.500, 0.000), Si at (0.000, 0.500, 0.500) and Tc at (0.500, 0.500, 0.500).

Material: Er2ThI
Method: DFT, GGA-PBE
State: optimized geometry

The polymorph energy (0 for the lowest one) comes out at 0 meV/atom. As for the energy relative to the elements, uncorrected: -0.348 eV per atom. As for the total magnetization: 0.00 Bohr magnetons per cell. The total energy is -4.87 eV per atom.

The structure belongs to space group R-3m (No. 166, hexagonal axes); the cell edges are 3.7174, 3.7174 and 31.0796 Å and the angles 90.00°, 90.00° and 120.00°. The inequivalent atoms are Er at (0.0000, 0.0000, 0.2458), Th at (0.0000, 0.0000, 0.0000) and I at (0.0000, 0.0000, 0.5000).

Material: Pm2TlCo2
Method: DFT, GGA-PBE
State: optimized geometry

As for the total magnetization: 3.02 Bohr magnetons per cell. The total energy is -5.45 eV per atom.

The structure belongs to space group Cmmm (No. 65); the cell edges are 3.907, 14.437 and 3.979 Å and the angles 90.00°, 90.00° and 90.00°. The inequivalent atoms are Pm at (0.000, 0.138, 0.000), Tl at (0.000, 0.500, 0.500) and Co at (0.000, 0.290, 0.500).

Material: Sr2MgTa
Method: DFT, GGA-PBE
State: optimized geometry

As for the total magnetization: 10.72 Bohr magnetons per cell. The total energy is -3.34 eV per atom.

The structure belongs to space group F-43m (No. 216); the cell edges are 7.896, 7.896 and 7.896 Å and the angles 90.00°, 90.00° and 90.00°. The inequivalent atoms are Sr at (0.000, 0.000, 0.000), Sr at (0.250, 0.250, 0.250), Mg at (0.250, 0.250, 0.750) and Ta at (0.000, 0.000, 0.500).